(1)
Dy12AlNi5 (PBE-GGA, relaxed); total DFT energy (no corrections) = -93.6 eV for the cell shown; E_form = -0.32 eV per atom
1.0
-4.657 4.755 4.930
4.657 -4.755 4.930
4.657 4.755 -4.930
Dy Al Ni
12 1 5
direct
0.026 0.216 0.811
0.183 0.294 0.477
0.183 0.706 0.888
0.324 0.020 0.696
0.324 0.627 0.304
0.405 0.216 0.189
0.595 0.784 0.811
0.676 0.373 0.696
0.676 0.980 0.304
0.817 0.294 0.112
0.817 0.706 0.523
0.974 0.784 0.189
0.500 0.500 0.000
0.000 0.000 0.000
0.125 0.625 0.500
0.363 0.000 0.363
0.637 0.000 0.637
0.875 0.375 0.500


(2)
CaIn2Cl4 (PBE-GGA, relaxed); E_form (uncorrected) = -1.454 eV/atom; total DFT energy (no corrections) = -25.0 eV for the cell shown
1.0
-2.697 2.697 7.920
2.697 -2.697 7.920
2.697 2.697 -7.920
Ca In Cl
1 2 4
direct
0.000 0.000 0.000
0.356 0.356 0.000
0.644 0.644 0.000
0.000 0.500 0.500
0.173 0.173 0.000
0.500 0.000 0.500
0.827 0.827 0.000


(3)
TbEuCdGa (PBE-GGA, relaxed); total DFT energy (no corrections) = -20.4 eV for the cell shown; E_form = -0.40 eV per atom
1.0
0.000 3.754 3.754
3.754 0.000 3.754
3.754 3.754 0.000
Tb Eu Cd Ga
1 1 1 1
direct
0.000 0.000 0.000
0.500 0.500 0.500
0.750 0.750 0.750
0.250 0.250 0.250


(4)
Mg2AlAs (PBE-GGA, relaxed); total DFT energy (no corrections) = -11.8 eV for the cell shown; E_form = -0.06 eV per atom
1.0
3.724 0.000 0.000
0.000 3.724 0.000
0.000 0.000 5.706
Mg Al As
2 1 1
direct
0.000 0.000 0.000
0.500 0.500 0.279
0.000 0.000 0.521
0.500 0.500 0.763


(5)
CsDyMnBr6 (PBE-GGA, relaxed); E_form (uncorrected) = -1.522 eV/atom; total DFT energy (no corrections) = -38.4 eV for the cell shown
1.0
7.199 0.000 0.000
-3.599 6.234 0.000
0.000 0.000 8.162
Cs Dy Mn Br
1 1 1 6
direct
0.000 0.000 0.000
0.667 0.333 0.500
0.333 0.667 0.500
0.011 0.383 0.696
0.011 0.628 0.304
0.372 0.383 0.304
0.372 0.989 0.696
0.617 0.628 0.696
0.617 0.989 0.304


(6)
U11Ni16 (PBE-GGA, relaxed); total DFT energy (no corrections) = -446.8 eV for the cell shown; E_form = -0.25 eV per atom
1.0
5.862 3.384 6.849
-5.862 3.384 6.849
0.000 -6.768 6.849
U Ni
22 32
direct
0.072 0.072 0.072
0.077 0.384 0.914
0.086 0.923 0.616
0.088 0.553 0.375
0.222 0.647 0.556
0.306 0.306 0.306
0.353 0.444 0.778
0.375 0.088 0.553
0.384 0.914 0.077
0.444 0.778 0.353
0.447 0.625 0.912
0.553 0.375 0.088
0.556 0.222 0.647
0.616 0.086 0.923
0.625 0.912 0.447
0.647 0.556 0.222
0.694 0.694 0.694
0.778 0.353 0.444
0.912 0.447 0.625
0.914 0.077 0.384
0.923 0.616 0.086
0.928 0.928 0.928
0.059 0.318 0.225
0.074 0.228 0.492
0.086 0.152 0.757
0.149 0.834 0.313
0.152 0.757 0.086
0.166 0.687 0.851
0.220 0.346 0.613
0.225 0.059 0.318
0.228 0.492 0.074
0.243 0.914 0.848
0.313 0.149 0.834
0.318 0.225 0.059
0.346 0.613 0.220
0.387 0.780 0.654
0.438 0.438 0.438
0.492 0.074 0.228
0.508 0.926 0.772
0.562 0.562 0.562
0.613 0.220 0.346
0.654 0.387 0.780
0.682 0.775 0.941
0.687 0.851 0.166
0.757 0.086 0.152
0.772 0.508 0.926
0.775 0.941 0.682
0.780 0.654 0.387
0.834 0.313 0.149
0.848 0.243 0.914
0.851 0.166 0.687
0.914 0.848 0.243
0.926 0.772 0.508
0.941 0.682 0.775


(7)
TlCrPb (PBE-GGA, relaxed); total DFT energy (no corrections) = -14.3 eV for the cell shown; E_form = 0.47 eV per atom
1.0
0.000 3.402 3.402
3.402 0.000 3.402
3.402 3.402 0.000
Tl Cr Pb
1 1 1
direct
0.000 0.000 0.000
0.250 0.250 0.250
0.500 0.500 0.500


(8)
La15Ho4Th (PBE-GGA, relaxed); total DFT energy (no corrections) = -99.3 eV for the cell shown; E_form = 0.02 eV per atom
1.0
5.208 0.000 0.000
0.000 5.208 0.000
0.000 0.000 26.024
La Ho Th
15 4 1
direct
0.000 0.000 0.000
0.000 0.000 0.203
0.000 0.000 0.401
0.000 0.000 0.599
0.000 0.000 0.797
0.000 0.500 0.097
0.000 0.500 0.300
0.000 0.500 0.500
0.000 0.500 0.700
0.000 0.500 0.903
0.500 0.000 0.097
0.500 0.000 0.300
0.500 0.000 0.500
0.500 0.000 0.700
0.500 0.000 0.903
0.500 0.500 0.201
0.500 0.500 0.400
0.500 0.500 0.600
0.500 0.500 0.799
0.500 0.500 0.000


(9)
ScCdHg2Pd2 (PBE-GGA, relaxed); total DFT energy (no corrections) = -19.3 eV for the cell shown; E_form = -0.18 eV per atom
1.0
2.228 1.287 9.780
-2.228 1.287 9.780
0.000 -2.573 9.780
Sc Cd Hg Pd
1 1 2 2
direct
0.000 0.000 0.000
0.500 0.500 0.500
0.405 0.405 0.405
0.595 0.595 0.595
0.306 0.306 0.306
0.694 0.694 0.694


(10)
Cs4SmEr3Te8 (PBE-GGA, relaxed); E_form (uncorrected) = -1.377 eV/atom; total DFT energy (no corrections) = -69.0 eV for the cell shown
1.0
4.554 2.629 8.915
-4.554 2.629 8.915
0.000 -5.259 8.915
Cs Sm Er Te
4 1 3 8
direct
0.000 0.000 0.000
0.000 0.500 0.500
0.500 0.000 0.500
0.500 0.500 0.000
0.500 0.500 0.500
0.000 0.000 0.500
0.000 0.500 0.000
0.500 0.000 0.000
0.224 0.733 0.733
0.229 0.229 0.229
0.267 0.267 0.776
0.267 0.776 0.267
0.733 0.224 0.733
0.733 0.733 0.224
0.771 0.771 0.771
0.776 0.267 0.267


(11)
BaS8I2 (PBE-GGA, relaxed); E_form (uncorrected) = -0.270 eV/atom; total DFT energy (no corrections) = -41.0 eV for the cell shown
1.0
5.400 -3.110 0.000
5.400 3.110 0.000
-3.598 0.000 10.894
Ba S I
1 8 2
direct
0.000 0.000 0.000
0.032 0.032 0.586
0.032 0.522 0.586
0.471 0.471 0.414
0.478 0.968 0.414
0.522 0.032 0.586
0.529 0.529 0.586
0.968 0.478 0.414
0.968 0.968 0.414
0.303 0.303 0.909
0.697 0.697 0.091


(12)
NbTcS (PBE-GGA, relaxed); E_form (uncorrected) = -0.210 eV/atom; total DFT energy (no corrections) = -50.4 eV for the cell shown
1.0
-1.565 1.565 11.446
1.565 -1.565 11.446
1.565 1.565 -11.446
Nb Tc S
2 2 2
direct
0.126 0.126 0.000
0.874 0.874 0.000
0.452 0.452 0.000
0.548 0.548 0.000
0.322 0.322 0.000
0.678 0.678 0.000